This record from Alexandria via LeMat-Bulk describes crystalline HoCrO4 at its relaxed geometry. The functional is PBE+U.

Computed properties:
Its magnetic moment is 2.000 Bohr magnetons per cell. The density comes out at 5.8 Mg/m³. For the uncorrected energy, the calculation gives -7.6568 eV/atom.

Cell: 5.935 5.935 5.987 Å, 106.11 106.10 116.13°
Site moments in Bohr magnetons follow the coordinates.
Atoms (fractional coordinates):
O1 0.264 0.208 0.077  -0.02
O2 0.208 0.264 0.577  -0.02
O3 0.187 0.631 0.923  -0.02
O4 0.736 0.792 0.923  -0.02
O5 0.369 0.813 0.577  -0.02
O6 0.792 0.736 0.423  -0.02
O7 0.813 0.369 0.077  -0.02
O8 0.631 0.187 0.423  -0.02
Cr1 0.375 0.625 0.750  1.07
Cr2 0.625 0.375 0.250  1.07
Ho1 0.875 0.125 0.750  0.02
Ho2 0.125 0.875 0.250  0.02